CrCdIr | PBEsol | relaxed

Summary:
ΔH_f (0 K) in meV per atom: 386
E above lowest polymorph in meV/atom: 178
DOS at the Fermi energy in states/eV per cell: 10.20

Cell and atoms, written as CIF:
```
data_CrCdIr
_symmetry_space_group_name_H-M 'P 1'
_symmetry_Int_Tables_number 1
_symmetry_space_group_name_Hall 'P 1'
_cell_length_a 2.8473
_cell_length_b 4.5668
_cell_length_c 13.8111
_cell_angle_alpha 90.00
_cell_angle_beta 90.00
_cell_angle_gamma 90.00
loop_
_atom_site_label
_atom_site_fract_x
_atom_site_fract_y
_atom_site_fract_z
_atom_site_occupancy
Cr1 0.0000 0.0000 0.0000 1
Cr2 0.0000 0.5000 0.5000 1
Cr3 0.5000 0.0000 0.5000 1
Cr4 0.5000 0.5000 0.0000 1
Cd1 0.0000 0.0000 0.6732 1
Cd2 0.0000 0.5000 0.1732 1
Cd3 0.5000 0.0000 0.1732 1
Cd4 0.5000 0.5000 0.6732 1
Ir1 0.0000 0.0000 0.3562 1
Ir2 0.0000 0.5000 0.8562 1
Ir3 0.5000 0.0000 0.8562 1
Ir4 0.5000 0.5000 0.3562 1
```